A | Density functional theory data (GGA-PBE) for KTaBePd after structural relaxation.

Cell lengths 6.683, 6.683, 6.683 Å; angles 90.00, 90.00, 90.00 degrees
Space group F-43m (No. 216)
Unique sites:
K 0.000 0.000 0.000
Ta 0.000 0.000 0.500
Be 0.250 0.250 0.750
Pd 0.250 0.250 0.250

Computed properties:
M_tot ... 0.02 μB per formula unit

***

B | Density functional theory data (GGA-PBE) for KTaBePd after structural relaxation.

Cell lengths 6.463, 6.463, 6.463 Å; angles 90.00, 90.00, 90.00 degrees
Space group F-43m (No. 216)
Unique sites:
K 0.000 0.000 0.000
Ta 0.250 0.250 0.750
Be 0.250 0.250 0.250
Pd 0.000 0.000 0.500

Computed properties:
M_tot ... 0.00 μB per formula unit

***

C | Density functional theory data (GGA-PBE) for KTaBePd after structural relaxation.

Cell lengths 6.493, 6.493, 6.493 Å; angles 90.00, 90.00, 90.00 degrees
Space group F-43m (No. 216)
Unique sites:
K 0.000 0.000 0.000
Ta 0.250 0.250 0.250
Be 0.000 0.000 0.500
Pd 0.250 0.250 0.750

Computed properties:
M_tot ... 0.01 μB per formula unit

***

The most stable structure shown above is B; the least stable is C.